# Ac2LuPa | the Alexandria database | PBE-GGA | optimized geometry
data_Ac2LuPa
_cell_length_a 3.538
_cell_length_b 3.538
_cell_length_c 13.024
_cell_angle_alpha 82.19
_cell_angle_beta 82.19
_cell_angle_gamma 60.00
_space_group_name_H-M_alt 'P 1'
_space_group_IT_number 1
loop_
_space_group_symop_operation_xyz
'x,y,z'
loop_
_atom_site_label
_atom_site_type_symbol
_atom_site_fract_x
_atom_site_fract_y
_atom_site_fract_z
Ac1 Ac 0.087 0.087 0.740
Ac2 Ac 0.913 0.913 0.260
Pa1 Pa 0.000 0.000 0.000
Lu1 Lu 0.500 0.500 0.500
# Size of the total moment: 0.00 μB per formula unit
# Total energy: -5.0661 eV/atom
# Space group: R-3m (166)
# N(E_F): 6.78 states/eV/cell

=====

# AcLuPb2 | the Alexandria database | PBE-GGA | optimized geometry
data_AcLuPb2
_cell_length_a 4.131
_cell_length_b 4.131
_cell_length_c 7.347
_cell_angle_alpha 90.00
_cell_angle_beta 90.00
_cell_angle_gamma 90.00
_space_group_name_H-M_alt 'P 1'
_space_group_IT_number 1
loop_
_space_group_symop_operation_xyz
'x,y,z'
loop_
_atom_site_label
_atom_site_type_symbol
_atom_site_fract_x
_atom_site_fract_y
_atom_site_fract_z
Ac1 Ac 0.500 0.500 0.500
Pb1 Pb 0.000 0.000 0.217
Pb2 Pb 0.000 0.000 0.783
Lu1 Lu 0.500 0.500 0.000
# Size of the total moment: 0.00 μB per formula unit
# Total energy: -4.3989 eV/atom
# Space group: P4/mmm (123)
# N(E_F): 3.64 states/eV/cell

=====

# AcLuPb | the Alexandria database | PBE-GGA | optimized geometry
data_AcLuPb
_cell_length_a 5.420
_cell_length_b 5.420
_cell_length_c 5.420
_cell_angle_alpha 60.00
_cell_angle_beta 60.00
_cell_angle_gamma 60.00
_space_group_name_H-M_alt 'P 1'
_space_group_IT_number 1
loop_
_space_group_symop_operation_xyz
'x,y,z'
loop_
_atom_site_label
_atom_site_type_symbol
_atom_site_fract_x
_atom_site_fract_y
_atom_site_fract_z
Ac1 Ac 0.500 0.500 0.500
Pb1 Pb 0.250 0.250 0.250
Lu1 Lu 0.000 0.000 0.000
# Size of the total moment: 0.00 μB per formula unit
# Total energy: -4.2100 eV/atom
# Space group: F-43m (216)
# N(E_F): 4.02 states/eV/cell

=====

# AcLuPb | the Alexandria database | PBE-GGA | optimized geometry
data_AcLuPb
_cell_length_a 4.530
_cell_length_b 5.183
_cell_length_c 5.183
_cell_angle_alpha 120.00
_cell_angle_beta 90.00
_cell_angle_gamma 90.00
_space_group_name_H-M_alt 'P 1'
_space_group_IT_number 1
loop_
_space_group_symop_operation_xyz
'x,y,z'
loop_
_atom_site_label
_atom_site_type_symbol
_atom_site_fract_x
_atom_site_fract_y
_atom_site_fract_z
Pb1 Pb 0.166 0.000 0.000
Lu1 Lu 0.167 0.667 0.333
Ac1 Ac 0.667 0.333 0.667
# Size of the total moment: 0.00 μB per formula unit
# Total energy: -4.3823 eV/atom
# Space group: P3m1 (156)
# N(E_F): 0.68 states/eV/cell

=====

# AcLuPb | the Alexandria database | PBE-GGA | optimized geometry
data_AcLuPb
_cell_length_a 3.795
_cell_length_b 3.795
_cell_length_c 7.585
_cell_angle_alpha 104.49
_cell_angle_beta 104.49
_cell_angle_gamma 90.00
_space_group_name_H-M_alt 'P 1'
_space_group_IT_number 1
loop_
_space_group_symop_operation_xyz
'x,y,z'
loop_
_atom_site_label
_atom_site_type_symbol
_atom_site_fract_x
_atom_site_fract_y
_atom_site_fract_z
Ac1 Ac 0.956 0.956 0.912
Lu1 Lu 0.266 0.266 0.531
Pb1 Pb 0.629 0.629 0.257
# Size of the total moment: 0.00 μB per formula unit
# Total energy: -4.3256 eV/atom
# Space group: I4mm (107)
# N(E_F): 4.08 states/eV/cell

=====

# AcLuPb2 | the Alexandria database | PBE-GGA | optimized geometry
data_AcLuPb2
_cell_length_a 3.823
_cell_length_b 3.823
_cell_length_c 10.515
_cell_angle_alpha 79.53
_cell_angle_beta 79.53
_cell_angle_gamma 60.00
_space_group_name_H-M_alt 'P 1'
_space_group_IT_number 1
loop_
_space_group_symop_operation_xyz
'x,y,z'
loop_
_atom_site_label
_atom_site_type_symbol
_atom_site_fract_x
_atom_site_fract_y
_atom_site_fract_z
Pb1 Pb 0.743 0.743 0.772
Pb2 Pb 0.257 0.257 0.228
Lu1 Lu 0.000 0.000 0.000
Ac1 Ac 0.500 0.500 0.500
# Size of the total moment: 0.00 μB per formula unit
# Total energy: -4.2979 eV/atom
# Space group: R-3m (166)
# N(E_F): 2.36 states/eV/cell

=====

# AcLuPb2 | the Alexandria database | PBE-GGA | optimized geometry
data_AcLuPb2
_cell_length_a 4.606
_cell_length_b 5.260
_cell_length_c 5.260
_cell_angle_alpha 90.00
_cell_angle_beta 90.00
_cell_angle_gamma 90.00
_space_group_name_H-M_alt 'P 1'
_space_group_IT_number 1
loop_
_space_group_symop_operation_xyz
'x,y,z'
loop_
_atom_site_label
_atom_site_type_symbol
_atom_site_fract_x
_atom_site_fract_y
_atom_site_fract_z
Lu1 Lu 0.500 0.500 0.500
Ac1 Ac 0.500 0.000 0.000
Pb1 Pb 0.000 0.500 0.000
Pb2 Pb 0.000 0.000 0.500
# Size of the total moment: 0.00 μB per formula unit
# Total energy: -4.3747 eV/atom
# Space group: P4/mmm (123)
# N(E_F): 3.45 states/eV/cell

=====

# AcLuPdPb | the Alexandria database | PBE-GGA | optimized geometry
data_AcLuPdPb
_cell_length_a 5.418
_cell_length_b 5.418
_cell_length_c 5.418
_cell_angle_alpha 60.00
_cell_angle_beta 60.00
_cell_angle_gamma 60.00
_space_group_name_H-M_alt 'P 1'
_space_group_IT_number 1
loop_
_space_group_symop_operation_xyz
'x,y,z'
loop_
_atom_site_label
_atom_site_type_symbol
_atom_site_fract_x
_atom_site_fract_y
_atom_site_fract_z
Ac1 Ac 0.500 0.500 0.500
Pb1 Pb 0.250 0.250 0.250
Pd1 Pd 0.750 0.750 0.750
Lu1 Lu 0.000 0.000 0.000
# Size of the total moment: 0.00 μB per formula unit
# Total energy: -4.8941 eV/atom
# Space group: F-43m (216)
# N(E_F): 1.56 states/eV/cell

=====

# AcPrLuPb | the Alexandria database | PBE-GGA | optimized geometry
data_AcPrLuPb
_cell_length_a 5.670
_cell_length_b 5.670
_cell_length_c 5.670
_cell_angle_alpha 60.00
_cell_angle_beta 60.00
_cell_angle_gamma 60.00
_space_group_name_H-M_alt 'P 1'
_space_group_IT_number 1
loop_
_space_group_symop_operation_xyz
'x,y,z'
loop_
_atom_site_label
_atom_site_type_symbol
_atom_site_fract_x
_atom_site_fract_y
_atom_site_fract_z
Lu1 Lu 0.750 0.750 0.750
Pr1 Pr 0.250 0.250 0.250
Pb1 Pb 0.000 0.000 0.000
Ac1 Ac 0.500 0.500 0.500
# Size of the total moment: 0.00 μB per formula unit
# Total energy: -4.3292 eV/atom
# Space group: F-43m (216)
# N(E_F): 6.41 states/eV/cell

=====

# AcLuPtPb | the Alexandria database | PBE-GGA | optimized geometry
data_AcLuPtPb
_cell_length_a 5.391
_cell_length_b 5.391
_cell_length_c 5.391
_cell_angle_alpha 60.00
_cell_angle_beta 60.00
_cell_angle_gamma 60.00
_space_group_name_H-M_alt 'P 1'
_space_group_IT_number 1
loop_
_space_group_symop_operation_xyz
'x,y,z'
loop_
_atom_site_label
_atom_site_type_symbol
_atom_site_fract_x
_atom_site_fract_y
_atom_site_fract_z
Ac1 Ac 0.500 0.500 0.500
Lu1 Lu 0.000 0.000 0.000
Pb1 Pb 0.750 0.750 0.750
Pt1 Pt 0.250 0.250 0.250
# Size of the total moment: 0.00 μB per formula unit
# Total energy: -5.2172 eV/atom
# Space group: F-43m (216)
# N(E_F): 1.02 states/eV/cell

=====

# AcLuPuPb | the Alexandria database | PBE-GGA | optimized geometry
data_AcLuPuPb
_cell_length_a 5.576
_cell_length_b 5.576
_cell_length_c 5.576
_cell_angle_alpha 60.00
_cell_angle_beta 60.00
_cell_angle_gamma 60.00
_space_group_name_H-M_alt 'P 1'
_space_group_IT_number 1
loop_
_space_group_symop_operation_xyz
'x,y,z'
loop_
_atom_site_label
_atom_site_type_symbol
_atom_site_fract_x
_atom_site_fract_y
_atom_site_fract_z
Lu1 Lu 0.500 0.500 0.500
Pb1 Pb 0.250 0.250 0.250
Pu1 Pu 0.000 0.000 0.000
Ac1 Ac 0.750 0.750 0.750
# Size of the total moment: 7.06 μB per formula unit
# Total energy: -6.5652 eV/atom
# Space group: F-43m (216)
# N(E_F): 14.00 states/eV/cell

=====

# AcLuScPb | the Alexandria database | PBE-GGA | optimized geometry
data_AcLuScPb
_cell_length_a 5.471
_cell_length_b 5.471
_cell_length_c 5.471
_cell_angle_alpha 60.00
_cell_angle_beta 60.00
_cell_angle_gamma 60.00
_space_group_name_H-M_alt 'P 1'
_space_group_IT_number 1
loop_
_space_group_symop_operation_xyz
'x,y,z'
loop_
_atom_site_label
_atom_site_type_symbol
_atom_site_fract_x
_atom_site_fract_y
_atom_site_fract_z
Sc1 Sc 0.000 0.000 0.000
Lu1 Lu 0.500 0.500 0.500
Ac1 Ac 0.250 0.250 0.250
Pb1 Pb 0.750 0.750 0.750
# Size of the total moment: 0.73 μB per formula unit
# Total energy: -4.6579 eV/atom
# Space group: F-43m (216)
# N(E_F): 6.83 states/eV/cell

=====

Please write out number 4 again, unchanged.
# AcLuPb | the Alexandria database | PBE-GGA | optimized geometry
data_AcLuPb
_cell_length_a 4.530
_cell_length_b 5.183
_cell_length_c 5.183
_cell_angle_alpha 120.00
_cell_angle_beta 90.00
_cell_angle_gamma 90.00
_space_group_name_H-M_alt 'P 1'
_space_group_IT_number 1
loop_
_space_group_symop_operation_xyz
'x,y,z'
loop_
_atom_site_label
_atom_site_type_symbol
_atom_site_fract_x
_atom_site_fract_y
_atom_site_fract_z
Pb1 Pb 0.166 0.000 0.000
Lu1 Lu 0.167 0.667 0.333
Ac1 Ac 0.667 0.333 0.667
# Size of the total moment: 0.00 μB per formula unit
# Total energy: -4.3823 eV/atom
# Space group: P3m1 (156)
# N(E_F): 0.68 states/eV/cell

=====

- Look up the total energy of the ninth one.
  -4.3292 eV/atom